# Ca4Bi2Sb

Crystalline Ca4Bi2Sb at its relaxed geometry (PBE-GGA, Alexandria via LeMat-Bulk).

Offset from the most stable computed form in meV/atom: 0
Formation energy without anion corrections in eV per atom: -0.811
V in Å³/cell: 473.7
DOS(E_F) in states/eV/atom: 0.25
Uncorrected energy in eV per formula unit: -25.57

abc: 12.575 4.797 8.913
angles: 90.00 118.23 90.00
Space group C2/m (No. 12)
Asymmetric unit:
Ca 0.086 0.000 0.386 [4 per cell]
Ca 0.177 0.500 0.074 [4 per cell]
Bi 0.153 0.500 0.674 [4 per cell]
Sb 0.000 0.000 0.000 [2 per cell]